Entry A
{
  "formula": "TbPr2Sm4",
  "functional": "GGA-PBE",
  "state": "optimized geometry",
  "mass_density_kg_m3": 7241,
  "magnetic_moment_mub_per_atom": 0.00,
  "lattice": [[3.6427, 0.0000, 0.0000], [1.8213, 3.1546, 0.0000], [1.8213, 1.0515, 20.7992]],
  "species": ["Sm", "Sm", "Sm", "Sm", "Pr", "Pr", "Tb"],
  "frac_coords": [[0.8569, 0.8569, 0.4293], [0.7133, 0.7133, 0.8602], [0.1431, 0.1431, 0.5707], [0.2867, 0.2867, 0.1398], [0.5718, 0.5718, 0.2847], [0.4282, 0.4282, 0.7153], [0.0000, 0.0000, 0.0000]]
}


Entry B
{
  "formula": "TbPr2Sm4",
  "functional": "GGA-PBE",
  "state": "optimized geometry",
  "mass_density_kg_m3": 7001,
  "magnetic_moment_mub_per_atom": 0.00,
  "lattice": [[-3.7415, 6.2537, -0.9227], [-7.2432, -5.4067, -7.2735], [-6.8774, -2.7993, 8.9144]],
  "species": ["Sm", "Sm", "Sm", "Sm", "Sm", "Sm", "Sm", "Sm", "Sm", "Sm", "Sm", "Sm", "Sm", "Sm", "Sm", "Sm", "Pr", "Pr", "Pr", "Pr", "Pr", "Pr", "Pr", "Pr", "Tb", "Tb", "Tb", "Tb"],
  "frac_coords": [[0.2444, 0.2169, 0.9999], [0.2560, 0.0001, 0.7832], [0.2556, 0.2831, 0.5001], [0.2556, 0.7169, 0.4999], [0.2440, 0.4999, 0.7168], [0.2444, 0.7831, 0.0001], [0.7444, 0.4999, 0.7169], [0.7440, 0.7832, 0.0001], [0.7556, 0.0001, 0.7831], [0.7556, 0.9999, 0.2169], [0.7560, 0.2832, 0.5001], [0.2440, 0.5001, 0.2832], [0.2560, 0.9999, 0.2168], [0.7440, 0.2168, 0.9999], [0.7444, 0.5001, 0.2831], [0.7560, 0.7168, 0.4999], [0.5000, 0.2502, 0.7498], [0.0000, 0.2499, 0.2499], [0.0000, 0.7502, 0.2498], [0.5000, 0.2501, 0.2501], [0.0000, 0.2498, 0.7502], [0.5000, 0.7499, 0.7499], [0.0000, 0.7501, 0.7501], [0.5000, 0.7498, 0.2502], [0.5071, 0.0000, 0.5000], [0.9929, 0.5000, 0.0000], [0.4929, 0.5000, 0.0000], [0.0071, 0.0000, 0.5000]]
}


Pick the least stable structure from those above. Pick: entry B